No. 1
Material: InCuC
Method: DFT, PBE
State: optimized geometry

abc: 3.6538 5.0135 5.9179
angles: 80.01 72.09 89.97
Atoms (fractional coordinates):
1 In 0.0000 0.0000 0.0000
2 In 0.4240 0.4779 0.1514
3 Cu 0.2934 0.9450 0.4143
4 Cu 0.7017 0.2258 0.5975
5 C 0.7012 0.5939 0.5978
6 C 0.7122 0.8532 0.5779

Calculated values
- SG = P1
- V (Å³/cell) = 101.4

No. 2
Material: In2Cu2C
Method: DFT, PBE
State: optimized geometry

abc: 5.4215 5.4215 6.0781
angles: 90.00 90.00 90.00
Atoms (fractional coordinates):
1 In 0.0000 0.5000 0.2500
2 In 0.0000 0.5000 0.7500
3 In 0.5000 0.0000 0.2500
4 In 0.5000 0.0000 0.7500
5 Cu 0.0000 0.0000 0.1968
6 Cu 0.0000 0.0000 0.8032
7 Cu 0.5000 0.5000 0.3032
8 Cu 0.5000 0.5000 0.6968
9 C 0.0000 0.0000 0.5000
10 C 0.5000 0.5000 0.0000

Calculated values
- SG = I4/mmm
- relative energy among the computed polymorphs (eV/atom) = 0.226
- V (Å³/cell) = 178.7

No. 3
Material: InCuC
Method: DFT, PBE
State: optimized geometry

abc: 7.1724 7.5529 3.6782
angles: 90.00 90.00 90.00
Atoms (fractional coordinates):
1 In 0.2500 0.2500 0.2500
2 In 0.2500 0.7500 0.7500
3 In 0.7500 0.2500 0.2500
4 In 0.7500 0.7500 0.7500
5 Cu 0.0000 0.0000 0.0000
6 Cu 0.0000 0.5000 0.0000
7 Cu 0.5000 0.0000 0.5000
8 Cu 0.5000 0.5000 0.5000
9 C 0.0000 0.2500 0.8939
10 C 0.0000 0.7500 0.1061
11 C 0.5000 0.2500 0.6061
12 C 0.5000 0.7500 0.3939

Calculated values
- SG = Imma
- V (Å³/cell) = 199.3

No. 4
Material: InCuC
Method: DFT, PBE
State: optimized geometry

abc: 4.3189 4.9657 6.0980
angles: 89.81 71.93 89.99
Atoms (fractional coordinates):
1 In 0.0000 0.0000 0.0000
2 In 0.4555 0.4926 0.0737
3 Cu 0.2629 0.3325 0.5924
4 Cu 0.3932 0.9893 0.2471
5 C 0.2586 0.9576 0.5927
6 C 0.2675 0.7012 0.5837

Calculated values
- SG = P1
- V (Å³/cell) = 124.3

No. 5
Material: InCuC
Method: DFT, PBE
State: optimized geometry

abc: 4.5248 4.8015 5.4806
angles: 103.96 90.12 90.01
Atoms (fractional coordinates):
1 In 0.0000 0.0000 0.0000
2 In 0.4985 0.1849 0.6850
3 Cu 0.5010 0.3160 0.2308
4 Cu 0.5010 0.8060 0.2171
5 C 0.1432 0.5719 0.2536
6 C 0.8589 0.5719 0.2537

Calculated values
- SG = P1
- V (Å³/cell) = 115.6

No. 6
Material: InCuC
Method: DFT, PBE
State: optimized geometry

abc: 3.4495 3.4495 3.7828
angles: 90.00 90.00 90.00
Atoms (fractional coordinates):
1 In 0.0000 0.0000 0.0000
2 Cu 0.5000 0.5000 0.5000
3 C 0.5000 0.5000 0.0000

Calculated values
- SG = P4/mmm
- V (Å³/cell) = 45.0

No. 7
Material: InCuC
Method: DFT, PBE
State: optimized geometry

abc: 4.4521 4.7868 5.4658
angles: 107.32 110.78 94.37
Atoms (fractional coordinates):
1 In 0.1965 0.1429 0.3444
2 In 0.8035 0.8571 0.6556
3 Cu 0.4495 0.2257 0.9360
4 Cu 0.5505 0.7743 0.0640
5 C 0.1440 0.4937 0.9987
6 C 0.8560 0.5063 0.0013

Calculated values
- SG = P-1
- V (Å³/cell) = 101.8

No. 8
Material: La2InCuC
Method: DFT, PBE
State: optimized geometry

abc: 5.4758 5.4758 3.8504
angles: 90.00 90.00 90.00
Atoms (fractional coordinates):
1 La 0.0000 0.5000 0.0000
2 La 0.5000 0.0000 0.0000
3 In 0.0000 0.0000 0.5000
4 Cu 0.5000 0.5000 0.5000
5 C 0.5000 0.5000 0.0000

Calculated values
- SG = P4/mmm
- V (Å³/cell) = 115.4

No. 9
Material: Mn2InCuC
Method: DFT, PBE
State: optimized geometry

abc: 3.8995 3.8995 4.0937
angles: 90.00 90.00 90.00
Atoms (fractional coordinates):
1 Mn 0.0000 0.5000 0.0000
2 Mn 0.5000 0.0000 0.0000
3 In 0.0000 0.0000 0.5000
4 Cu 0.5000 0.5000 0.5000
5 C 0.5000 0.5000 0.0000

Calculated values
- SG = P4/mmm
- V (Å³/cell) = 62.3

No. 10
Material: In2CuNiC
Method: DFT, PBE
State: optimized geometry

abc: 5.0881 5.0881 3.5135
angles: 90.00 90.00 90.00
Atoms (fractional coordinates):
1 In 0.0000 0.5000 0.0000
2 In 0.5000 0.0000 0.0000
3 Cu 0.0000 0.0000 0.5000
4 Ni 0.5000 0.5000 0.0000
5 C 0.5000 0.5000 0.5000

Calculated values
- SG = P4/mmm
- V (Å³/cell) = 91.0

No. 11
Material: InCuNi2C
Method: DFT, PBE
State: optimized geometry

abc: 4.6505 4.6505 3.9191
angles: 90.00 90.00 90.00
Atoms (fractional coordinates):
1 In 0.0000 0.0000 0.0000
2 Cu 0.5000 0.5000 0.5000
3 Ni 0.0000 0.5000 0.0000
4 Ni 0.5000 0.0000 0.0000
5 C 0.0000 0.0000 0.5000

Calculated values
- SG = P4/mmm
- V (Å³/cell) = 84.8

No. 12
Material: InCuOs2C
Method: DFT, PBE
State: optimized geometry

abc: 4.7628 4.7628 3.4410
angles: 90.00 90.00 90.00
Atoms (fractional coordinates):
1 In 0.0000 0.0000 0.0000
2 Cu 0.5000 0.5000 0.5000
3 Os 0.0000 0.5000 0.5000
4 Os 0.5000 0.0000 0.5000
5 C 0.5000 0.5000 0.0000

Calculated values
- SG = P4/mmm
- V (Å³/cell) = 78.1

For the records above, the corresponding Fermi-level density of states values read 1.1; 3.7; 2.3; 1.4; 1.1; 1.3; 1.1; 4.5; 2.3; 2.0; 4.9; 4.9 states/eV/cell.
For the records above, the corresponding E_tot values read -0.17709; -0.13586; -0.16229; -0.17602; -0.17464; -0.16514; -0.17535; -0.19582; -0.24830; -0.15550; -0.12850; -0.21440 hartree per atom.
For the records above, the corresponding energy of formation from the pure elements values read 0.534; 0.882; 0.937; 0.563; 0.601; 0.859; 0.581; -0.146; 0.123; 0.684; 2.028; 1.869 eV/atom.